DFT (PBE-GGA) results for an optimized crystal structure of DyMgSc2Pd4.

Calculated values
- Fermi-level density of states (states/eV/cell) = 5.27
- symmetry = R-3m, No. 166
- formation energy (eV per atom) = -0.84
- mass density (g cm⁻³) = 7.8

Geometry as POSCAR:
```
DyMgSc2Pd4
1.0
-1.334 -3.809 2.423
0.817 -4.298 -1.736
6.703 -2.838 3.801
Pd Mg Dy Sc
4 1 1 2
Direct
0.875 0.875 0.375 Pd
0.125 0.125 0.625 Pd
0.378 0.378 0.865 Pd
0.622 0.622 0.135 Pd
0.500 0.500 0.500 Mg
0.000 0.000 0.000 Dy
0.245 0.245 0.266 Sc
0.755 0.755 0.734 Sc
```